Record 1
Here is a relaxed Ge2CN crystal from Alexandria via LeMat-Bulk. Energies are from PBE.

Results
Its density of states at the Fermi level is 0.37 states/eV/atom. For the relative energy among the computed polymorphs, the calculation gives 0.00 eV/f.u. The magnetic moment is 0.00 μB per atom. The calculation puts the formation energy without anion corrections at 561.4 meV per atom.

Lattice parameters (Å, degrees): 4.661 4.661 9.360 90.00 90.00 90.00
Space group I-42d (No. 122)
Symmetry-distinct sites (fractional):
Ge (0.242, 0.250, 0.125)
C (0.000, 0.000, 0.000)
N (0.000, 0.000, 0.500)

Record 2
Here is a relaxed NpPa2Ga2Ru5 crystal from Alexandria via LeMat-Bulk. Energies are from PBE.

Results
Its density of states at the Fermi level is 1.00 states/eV/atom. The magnetic moment is 0.30 μB per atom. For the energy relative to the elements, the calculation gives -0.33 eV per atom.

Lattice parameters (Å, degrees): 9.937 9.937 3.603 90.00 90.00 90.00
Space group P4/mbm (No. 127)
Symmetry-distinct sites (fractional):
Np (0.000, 0.000, 0.000)
Pa (0.171, 0.329, 0.000)
Ga (0.125, 0.625, 0.000)
Ru (0.000, 0.500, 0.500)
Ru (0.078, 0.798, 0.500)